# 1
A relaxed structure of Rb2OsAuBr6, computed with GGA-PBE.

As for the total magnetization: 5.5 μB/cell. The uncorrected energy comes out at -3.2647 eV/atom.

The structure belongs to space group Fm-3m (No. 225); the cell edges are 10.705, 10.705 and 10.705 Å and the angles 90.00°, 90.00° and 90.00°. The asymmetric unit holds Rb at (0.250, 0.250, 0.250), Os at (0.000, 0.000, 0.000), Au at (0.000, 0.000, 0.500) and Br at (0.000, 0.000, 0.237).

=====

# 2
A relaxed structure of Fe2W2C, computed with GGA-PBE.

As for the total magnetization: 89.9 μB/cell. The uncorrected energy comes out at -10.2169 eV/atom.

The structure belongs to space group Fd-3m (No. 227, origin choice 2); the cell edges are 11.241, 11.241 and 11.241 Å and the angles 90.00°, 90.00° and 90.00°. The asymmetric unit holds Fe at (0.000, 0.000, 0.000), Fe at (0.044, 0.044, 0.206), W at (0.072, 0.375, 0.875), C at (0.000, 0.000, 0.500) and C at (0.125, 0.125, 0.625).

=====

# 3
A relaxed structure of TaCu2B, computed with GGA-PBE.

As for the total magnetization: 0.0 μB/cell. The uncorrected energy comes out at -6.1434 eV/atom.

The structure belongs to space group F-43m (No. 216); the cell edges are 5.779, 5.779 and 5.779 Å and the angles 90.00°, 90.00° and 90.00°. The asymmetric unit holds Ta at (0.000, 0.000, 0.000), Cu at (0.000, 0.000, 0.500), Cu at (0.250, 0.250, 0.250) and B at (0.250, 0.250, 0.750).